Density functional theory data (GGA+U) for a geometry-optimized ZnCoO2 structure.

The value obtained for the total moment is 1.00 μB/f.u. The value obtained for the density of states at the Fermi level is 0.0 states/eV/f.u. The raw total energy comes out at -5.04 eV per atom.

The space group is P1 (No. 1) and the conventional cell measures 3.021, 5.619 and 5.722 Å, with angles of 107.11, 104.90 and 91.02 degrees. Symmetry generates all atoms from Zn at (0.000, 0.000, 0.000), Zn at (0.478, 0.503, 0.957), Co at (0.219, 0.588, 0.458), Co at (0.718, 0.088, 0.465), O at (0.048, 0.371, 0.111), O at (0.151, 0.870, 0.327), O at (0.278, 0.307, 0.584) and O at (0.404, 0.793, 0.817).